1.
A geometry-optimized Y3GeSe structure. Source: the Alexandria database, functional PBE.

Lattice parameters (Å, degrees): 5.2889 5.2889 5.2889 90.00 90.00 90.00
Sites, in units of the cell vectors:
Y 0.0000 0.5000 0.0000
Y 0.0000 0.0000 0.5000
Y 0.5000 0.0000 0.0000
Ge 0.5000 0.5000 0.5000
Se 0.0000 0.0000 0.0000

* formation energy (no corrections): -2.382 eV per formula unit
* calculated total energy: -5.975 eV/atom
* ρ: 4.7 g/cm³
* crystal system: cubic
* magnetic moment: 0.000 μB per cell
* ΔE to the lowest computed polymorph: 542 meV per atom

***

2.
A geometry-optimized Ac3SeS3 structure. Source: the Alexandria database, functional PBE.

Lattice parameters (Å, degrees): 8.0325 8.0325 8.0325 68.14 68.14 68.14
Sites, in units of the cell vectors:
Ac 0.5570 0.2799 0.9234
Ac 0.2799 0.9234 0.5570
Ac 0.9234 0.5570 0.2799
Ac 0.0766 0.4430 0.7201
Ac 0.7201 0.0766 0.4430
Ac 0.4430 0.7201 0.0766
Se 0.3315 0.3315 0.3315
Se 0.6685 0.6685 0.6685
S 0.7946 0.3817 0.0940
S 0.0940 0.7946 0.3817
S 0.3817 0.0940 0.7946
S 0.6183 0.9060 0.2054
S 0.9060 0.2054 0.6183
S 0.2054 0.6183 0.9060

* formation energy (no corrections): -14.418 eV per formula unit
* calculated total energy: -6.087 eV/atom
* ρ: 6.6 g/cm³
* crystal system: trigonal
* magnetic moment: 0.000 μB per cell
* ΔE to the lowest computed polymorph: 0 meV per atom

***

3.
A geometry-optimized Sc5In2Co2Hg structure. Source: the Alexandria database, functional PBE.

Lattice parameters (Å, degrees): 3.3054 11.0846 11.0846 90.00 90.00 90.00
Sites, in units of the cell vectors:
Sc 0.5000 0.2120 0.0742
Sc 0.5000 0.7880 0.9258
Sc 0.5000 0.0742 0.7880
Sc 0.5000 0.7120 0.4258
Sc 0.5000 0.9258 0.2120
Sc 0.5000 0.2880 0.5742
Sc 0.5000 0.5742 0.7120
Sc 0.5000 0.4258 0.2880
Sc 0.5000 0.5000 0.0000
Sc 0.5000 0.0000 0.5000
In 0.0000 0.6735 0.1735
In 0.0000 0.3265 0.8265
In 0.0000 0.1735 0.3265
In 0.0000 0.8265 0.6735
Co 0.0000 0.1291 0.6291
Co 0.0000 0.8709 0.3709
Co 0.0000 0.6291 0.8709
Co 0.0000 0.3709 0.1291
Hg 0.0000 0.0000 0.0000
Hg 0.0000 0.5000 0.5000

* calculated total energy: -5.539 eV/atom
* ρ: 6.3 g/cm³
* crystal system: tetragonal
* energy of formation: -0.37 eV/atom
* magnetic moment: 0.000 μB per cell

***

4.
A geometry-optimized MnTlSb2I structure. Source: the Alexandria database, functional PBE.

Lattice parameters (Å, degrees): 4.9191 4.9191 6.1399 90.00 90.00 90.00
Sites, in units of the cell vectors:
I 0.0000 0.0000 0.5000
Sb 0.0000 0.5000 0.0000
Sb 0.5000 0.0000 0.0000
Tl 0.5000 0.5000 0.5000
Mn 0.0000 0.0000 0.0000

* formation energy (no corrections): 1.282 eV per formula unit
* calculated total energy: -4.010 eV/atom
* ρ: 7.0 g/cm³
* crystal system: tetragonal
* magnetic moment: 0.000 μB per cell
* ΔE to the lowest computed polymorph: 0 meV per atom

***

5.
A geometry-optimized Tl2IBr structure. Source: the Alexandria database, functional PBE.

Lattice parameters (Å, degrees): 4.7593 4.7593 8.8775 74.45 74.45 60.00
Sites, in units of the cell vectors:
Tl 0.0781 0.0781 0.7656
Tl 0.2551 0.2551 0.2348
I 0.4993 0.4993 0.5021
Br 0.6675 0.6675 0.9975

* formation energy (no corrections): -2.987 eV per formula unit
* calculated total energy: -2.736 eV/atom
* ρ: 6.2 g/cm³
* crystal system: trigonal
* magnetic moment: 0.000 μB per cell
* ΔE to the lowest computed polymorph: 15 meV per atom

***

6.
A geometry-optimized YTaSb2 structure. Source: the Alexandria database, functional PBE.

Lattice parameters (Å, degrees): 4.1565 4.1565 7.2610 73.37 73.37 59.99
Sites, in units of the cell vectors:
Sb 0.0088 0.0088 0.9736
Sb 0.4912 0.4912 0.5264
Ta 0.7500 0.7500 0.7500
Y 0.2500 0.2500 0.2500

* formation energy (no corrections): -1.270 eV per formula unit
* calculated total energy: -6.958 eV/atom
* ρ: 8.3 g/cm³
* crystal system: trigonal
* magnetic moment: 0.000 μB per cell
* ΔE to the lowest computed polymorph: 0 meV per atom

***

7.
A geometry-optimized Fe2BCl2 structure. Source: the Alexandria database, functional PBE.

Lattice parameters (Å, degrees): 3.7439 3.7439 5.8669 71.39 71.39 90.00
Sites, in units of the cell vectors:
B 0.0000 0.0000 0.0000
Fe 0.7500 0.2500 0.5000
Fe 0.2500 0.7500 0.5000
Cl 0.3626 0.3626 0.2748
Cl 0.6374 0.6374 0.7252

* formation energy (no corrections): 6.195 eV per formula unit
* calculated total energy: -4.220 eV/atom
* ρ: 4.4 g/cm³
* crystal system: tetragonal
* magnetic moment: 0.000 μB per cell
* ΔE to the lowest computed polymorph: 146 meV per atom

***

8.
A geometry-optimized YCd2Re structure. Source: the Alexandria database, functional PBE.

Lattice parameters (Å, degrees): 4.8898 4.8898 4.8898 60.00 60.00 60.00
Sites, in units of the cell vectors:
Y 0.0000 0.0000 0.0000
Re 0.5000 0.5000 0.5000
Cd 0.2500 0.2500 0.2500
Cd 0.7500 0.7500 0.7500

* calculated total energy: -4.792 eV/atom
* ρ: 10.0 g/cm³
* crystal system: cubic
* energy of formation: 0.39 eV/atom
* magnetic moment: 0.000 μB per cell
* ΔE to the lowest computed polymorph: 153 meV per atom

***

9.
A geometry-optimized K3Ho2ZrO6 structure. Source: the Alexandria database, functional PBE.

Lattice parameters (Å, degrees): 5.9074 5.9074 6.5476 98.65 98.65 120.00
Sites, in units of the cell vectors:
K 0.1659 0.8341 0.5000
K 0.8341 0.1659 0.5000
K 0.5000 0.5000 0.5000
Ho 0.3333 0.6667 0.0000
Ho 0.6667 0.3333 0.0000
Zr 0.0000 0.0000 0.0000
O 0.9384 0.6177 0.8157
O 0.7406 0.7406 0.1843
O 0.0616 0.3823 0.1843
O 0.6177 0.9384 0.8157
O 0.2594 0.2594 0.8157
O 0.3823 0.0616 0.1843

* formation energy (no corrections): -31.395 eV per formula unit
* calculated total energy: -6.845 eV/atom
* ρ: 5.6 g/cm³
* crystal system: monoclinic
* magnetic moment: 0.000 μB per cell

***

10.
A geometry-optimized KCaSi2 structure. Source: the Alexandria database, functional PBE.

Lattice parameters (Å, degrees): 3.9290 3.9290 9.4081 78.13 78.13 60.01
Sites, in units of the cell vectors:
Ca 0.5361 0.5361 0.3962
K 0.7241 0.7241 0.8234
Si 0.9685 0.9685 0.0938
Si 0.2713 0.2713 0.1865

* formation energy (no corrections): -0.454 eV per formula unit
* calculated total energy: -3.600 eV/atom
* ρ: 1.8 g/cm³
* crystal system: monoclinic
* magnetic moment: 0.000 μB per cell
* ΔE to the lowest computed polymorph: 56 meV per atom

***

11.
A geometry-optimized Pm2Zn5Pd4 structure. Source: the Alexandria database, functional PBE.

Lattice parameters (Å, degrees): 5.3506 5.3581 8.7456 81.21 72.19 60.05
Sites, in units of the cell vectors:
Pm 0.8568 0.0000 0.2864
Pm 0.1432 0.0000 0.7136
Zn 0.5000 0.0000 0.0000
Zn 0.0000 0.5000 0.0000
Zn 0.5000 0.5000 0.0000
Zn 0.2500 0.5000 0.5000
Zn 0.7500 0.5000 0.5000
Pd 0.4677 0.3203 0.7443
Pd 0.5323 0.6797 0.2557
Pd 0.2120 0.3203 0.2557
Pd 0.7880 0.6797 0.7443

* calculated total energy: -3.936 eV/atom
* ρ: 8.4 g/cm³
* crystal system: orthorhombic
* energy of formation: -0.60 eV/atom
* magnetic moment: 0.000 μB per cell

***

12.
A geometry-optimized YMgBr3 structure. Source: the Alexandria database, functional PBE.

Lattice parameters (Å, degrees): 5.2572 5.2572 5.2572 90.00 90.00 90.00
Last column: magnetic moment on the atom in μB.
Sites, in units of the cell vectors:
Y 0.5000 0.5000 0.5000  0.83
Mg 0.0000 0.0000 0.0000  0.01
Br 0.0000 0.5000 0.0000  0.01
Br 0.0000 0.0000 0.5000  0.01
Br 0.5000 0.0000 0.0000  0.01

* formation energy (no corrections): -3.593 eV per formula unit
* calculated total energy: -3.334 eV/atom
* ρ: 4.0 g/cm³
* crystal system: cubic
* magnetic moment: 1.754 μB per cell
* ΔE to the lowest computed polymorph: 393 meV per atom

***

13.
A geometry-optimized Li2DyGa2Ge2 structure. Source: the Alexandria database, functional PBE.

Lattice parameters (Å, degrees): 4.3649 4.3649 8.1067 74.38 74.38 60.00
Sites, in units of the cell vectors:
Li 0.1429 0.1429 0.5713
Li 0.8571 0.8571 0.4287
Dy 0.0000 0.0000 0.0000
Ga 0.5599 0.5599 0.3203
Ga 0.4401 0.4401 0.6797
Ge 0.7405 0.7405 0.7786
Ge 0.2596 0.2596 0.2214

* calculated total energy: -3.791 eV/atom
* ρ: 6.0 g/cm³
* crystal system: trigonal
* energy of formation: -0.40 eV/atom
* magnetic moment: 0.000 μB per cell

***

14.
A geometry-optimized DyCdF structure. Source: the Alexandria database, functional PBE.

Lattice parameters (Å, degrees): 3.4712 3.4724 14.3700 90.00 90.00 119.99
Last column: magnetic moment on the atom in μB.
Sites, in units of the cell vectors:
Cd 0.5589 0.1178 0.0000  -0.02
Cd 0.5390 0.0781 0.5000  0.00
F 0.5587 0.1174 0.2668  0.02
F 0.5587 0.1174 0.7332  0.02
Dy 0.2256 0.4513 0.8228  0.39
Dy 0.2256 0.4513 0.1772  0.39

* formation energy (no corrections): -4.666 eV per formula unit
* calculated total energy: -4.018 eV/atom
* ρ: 6.5 g/cm³
* crystal system: orthorhombic
* magnetic moment: 1.019 μB per cell

***

15.
A geometry-optimized Rb2YTiSe structure. Source: the Alexandria database, functional PBE.

Lattice parameters (Å, degrees): 6.7086 4.9897 6.7086 90.00 90.00 90.00
Sites, in units of the cell vectors:
Y 0.0000 0.0000 0.0000
Se 0.5000 0.5000 0.5000
Rb 0.0000 0.0000 0.5000
Rb 0.5000 0.0000 0.0000
Ti 0.0000 0.5000 0.0000

* formation energy (no corrections): 5.241 eV per formula unit
* calculated total energy: -2.908 eV/atom
* ρ: 2.9 g/cm³
* crystal system: tetragonal
* magnetic moment: 0.007 μB per cell

***

16.
A geometry-optimized Na3SbOs structure. Source: the Alexandria database, functional PBE.

Lattice parameters (Å, degrees): 5.8114 5.8114 5.8114 90.00 90.00 90.00
Last column: magnetic moment on the atom in μB.
Sites, in units of the cell vectors:
Sb 0.0000 0.0000 0.0000  0.18
Os 0.5000 0.5000 0.5000  3.06
Na 0.0000 0.5000 0.0000  0.00
Na 0.0000 0.0000 0.5000  0.00
Na 0.5000 0.0000 0.0000  0.01

* formation energy (no corrections): 6.155 eV per formula unit
* calculated total energy: -2.631 eV/atom
* ρ: 3.2 g/cm³
* crystal system: cubic
* magnetic moment: 4.000 μB per cell
* ΔE to the lowest computed polymorph: 0 meV per atom

***

17.
A geometry-optimized PmSi2Pt4 structure. Source: the Alexandria database, functional PBE.

Lattice parameters (Å, degrees): 3.8289 7.8791 7.8791 90.00 90.00 90.00
Sites, in units of the cell vectors:
Pm 0.5000 0.0000 0.0000
Pm 0.0000 0.5000 0.5000
Si 0.0000 0.2268 0.7732
Si 0.0000 0.7732 0.2268
Si 0.5000 0.7268 0.7268
Si 0.5000 0.2732 0.2732
Pt 0.0000 0.0740 0.3200
Pt 0.0000 0.9260 0.6800
Pt 0.5000 0.1800 0.5740
Pt 0.5000 0.8200 0.4260
Pt 0.5000 0.4260 0.8200
Pt 0.5000 0.5740 0.1800
Pt 0.0000 0.3200 0.0740
Pt 0.0000 0.6800 0.9260

* formation energy (no corrections): -6.598 eV per formula unit
* calculated total energy: -6.623 eV/atom
* ρ: 13.7 g/cm³
* crystal system: tetragonal
* magnetic moment: 0.000 μB per cell

***

18.
A geometry-optimized DyYAu4 structure. Source: the Alexandria database, functional PBE.

Lattice parameters (Å, degrees): 3.7455 5.2653 7.4713 80.28 75.52 110.89
Sites, in units of the cell vectors:
Dy 0.5013 0.4972 0.9981
Y 0.0013 0.9973 0.4981
Au 0.6694 0.0005 0.1646
Au 0.3332 0.9940 0.8317
Au 0.1666 0.4984 0.6675
Au 0.8360 0.4962 0.3287

* calculated total energy: -4.890 eV/atom
* ρ: 13.5 g/cm³
* crystal system: monoclinic
* energy of formation: -0.86 eV/atom
* magnetic moment: 0.000 μB per cell

***

19.
A geometry-optimized PIr2 structure. Source: the Alexandria database, functional PBE.

Lattice parameters (Å, degrees): 5.1899 5.1899 5.1899 60.00 60.00 60.00
Sites, in units of the cell vectors:
P 0.5000 0.5000 0.5000
P 0.7500 0.7500 0.7500
Ir 0.6250 0.1250 0.1250
Ir 0.1250 0.6250 0.1250
Ir 0.1250 0.1250 0.6250
Ir 0.1250 0.1250 0.1250

* calculated total energy: -6.757 eV/atom
* ρ: 14.0 g/cm³
* crystal system: cubic
* energy of formation: 0.95 eV/atom
* magnetic moment: 0.000 μB per cell

***

20.
A geometry-optimized Tm3TlHg4 structure. Source: the Alexandria database, functional PBE.

Lattice parameters (Å, degrees): 5.1368 5.1368 9.1765 73.75 73.75 60.00
Sites, in units of the cell vectors:
Tl 0.0000 0.0000 0.0000
Tm 0.2560 0.2560 0.2319
Tm 0.7440 0.7440 0.7681
Tm 0.5000 0.5000 0.5000
Hg 0.8674 0.8674 0.3979
Hg 0.3807 0.3807 0.8578
Hg 0.1326 0.1326 0.6021
Hg 0.6193 0.6193 0.1422

* calculated total energy: -2.493 eV/atom
* ρ: 12.7 g/cm³
* crystal system: trigonal
* energy of formation: -0.37 eV/atom
* magnetic moment: 0.000 μB per cell

***

21.
A geometry-optimized NaCdSb structure. Source: the Alexandria database, functional PBE.

Lattice parameters (Å, degrees): 4.7963 7.6555 7.6555 120.00 90.00 90.00
Sites, in units of the cell vectors:
Na 0.5000 0.4254 0.4254
Na 0.5000 0.0000 0.5746
Na 0.5000 0.5746 0.0000
Cd 0.0000 0.7432 0.7432
Cd 0.0000 0.0000 0.2568
Cd 0.0000 0.2568 0.0000
Sb 0.0000 0.3333 0.6667
Sb 0.0000 0.6667 0.3333
Sb 0.5000 0.0000 0.0000

* formation energy (no corrections): -0.888 eV per formula unit
* calculated total energy: -2.415 eV/atom
* ρ: 5.3 g/cm³
* crystal system: hexagonal
* magnetic moment: 0.000 μB per cell

***

22.
A geometry-optimized HoEr2ThBi5 structure. Source: the Alexandria database, functional PBE.

Lattice parameters (Å, degrees): 5.7224 5.7224 11.9082 90.00 90.00 90.00
Sites, in units of the cell vectors:
Ho 0.0000 0.0000 0.0000
Er 0.5000 0.5000 0.2662
Er 0.5000 0.5000 0.7338
Th 0.0000 0.0000 0.5000
Bi 0.0000 0.5000 0.5000
Bi 0.5000 0.0000 0.5000
Bi 0.0000 0.0000 0.7589
Bi 0.0000 0.0000 0.2411
Bi 0.5000 0.5000 0.0000

* calculated total energy: -4.229 eV/atom
* ρ: 7.6 g/cm³
* crystal system: tetragonal
* energy of formation: 0.27 eV/atom
* magnetic moment: 0.000 μB per cell

***

23.
A geometry-optimized Tb7Y4Cd structure. Source: the Alexandria database, functional PBE.

Lattice parameters (Å, degrees): 5.5816 5.5816 13.9763 90.00 90.00 120.00
Sites, in units of the cell vectors:
Tb 0.0000 0.0000 0.0000
Tb 0.6667 0.3333 0.5744
Tb 0.3333 0.6667 0.4256
Tb 0.6667 0.3333 0.8243
Tb 0.3333 0.6667 0.1757
Tb 0.0000 0.0000 0.2701
Tb 0.0000 0.0000 0.7299
Y 0.6667 0.3333 0.0725
Y 0.3333 0.6667 0.9275
Y 0.6667 0.3333 0.3166
Y 0.3333 0.6667 0.6834
Cd 0.0000 0.0000 0.5000

* calculated total energy: -4.870 eV/atom
* ρ: 7.0 g/cm³
* crystal system: trigonal
* energy of formation: 0.06 eV/atom
* magnetic moment: 0.006 μB per cell

***

24.
A geometry-optimized Pr3ReB7 structure. Source: the Alexandria database, functional PBE.

Lattice parameters (Å, degrees): 3.6503 8.4431 9.6752 90.00 90.00 102.48
Sites, in units of the cell vectors:
Pr 0.1035 0.2069 0.4378
Pr 0.8965 0.7931 0.5622
Pr 0.2436 0.4871 0.7500
Pr 0.7564 0.5129 0.2500
Pr 0.1035 0.2069 0.0622
Pr 0.8965 0.7931 0.9378
Re 0.9436 0.8871 0.2500
Re 0.0564 0.1129 0.7500
B 0.4666 0.9332 0.7500
B 0.5334 0.0668 0.2500
B 0.4749 0.9497 0.3984
B 0.5251 0.0503 0.6016
B 0.5251 0.0503 0.8984
B 0.4749 0.9497 0.1016
B 0.3678 0.7357 0.3472
B 0.6322 0.2643 0.6528
B 0.2742 0.5485 0.4679
B 0.7258 0.4515 0.5321
B 0.7258 0.4515 0.9679
B 0.2742 0.5485 0.0321
B 0.3678 0.7357 0.1528
B 0.6322 0.2643 0.8472

* calculated total energy: -7.046 eV/atom
* ρ: 7.8 g/cm³
* crystal system: orthorhombic
* energy of formation: -0.36 eV/atom
* magnetic moment: 0.000 μB per cell